Model one:
{
  "formula": "ZnTeIrN2",
  "functional": "PBE",
  "state": "relaxed",
  "cell": [[-3.284, -1.531, -1.238], [1.485, -3.507, 0.398], [-1.990, -0.213, 5.543]],
  "species": ["Ir", "Te", "N", "N", "Zn"],
  "frac_coords": [[0.000, 0.000, 0.000], [0.000, 0.000, 0.500], [0.000, 0.500, 0.000], [0.500, 0.000, 0.000], [0.500, 0.500, 0.500]],
  "mass_density_g_cm3": 7.942,
  "space_group": "P4/mmm, No. 123"
}

---

Model two:
{
  "formula": "ZnTeIrN2",
  "functional": "PBE",
  "state": "relaxed",
  "cell": [[3.812, 0.000, 0.000], [0.000, 3.812, 0.000], [0.000, 0.000, 6.336]],
  "species": ["Zn", "Te", "Ir", "N", "N"],
  "frac_coords": [[0.000, 0.000, 0.000], [0.000, 0.000, 0.500], [0.500, 0.500, 0.500], [0.500, 0.000, 0.000], [0.000, 0.500, 0.000]],
  "mass_density_g_cm3": 7.453,
  "space_group": "P4/mmm, No. 123"
}

---

It is model one that is most stable; the runner-up trails by 1060 meV/atom.